A relaxed structure of HfZrIn2Cu2Pd2. Source: the Open Quantum Materials Database, functional PBE.

Calculated values
* magnetic moment: 0.00 μB per formula unit
* space-group type: P-4m2

Cell lengths 4.608, 4.608, 6.538 Å; angles 90.00, 90.00, 90.00 degrees
Fractional positions:
Hf 0.000 0.000 0.000
Zr 0.500 0.500 0.500
In 0.000 0.000 0.500
In 0.500 0.500 0.000
Cu 0.000 0.500 0.753
Cu 0.500 0.000 0.247
Pd 0.000 0.500 0.244
Pd 0.500 0.000 0.756



A relaxed structure of SrHg6Pd6. Source: the Open Quantum Materials Database, functional PBE.

Calculated values
* space-group type: Immm

Cell lengths 7.358, 7.358, 7.358 Å; angles 134.41, 101.33, 95.96 degrees
Fractional positions:
Sr 0.000 0.000 0.000
Hg 0.179 0.679 0.500
Hg 0.336 0.000 0.336
Hg 0.342 0.342 0.000
Hg 0.658 0.658 0.000
Hg 0.664 0.000 0.664
Hg 0.821 0.321 0.500
Pd 0.000 0.000 0.500
Pd 0.000 0.500 0.000
Pd 0.241 0.500 0.741
Pd 0.500 0.000 0.000
Pd 0.500 0.500 0.500
Pd 0.759 0.500 0.259



A relaxed structure of GdBe. Source: the Open Quantum Materials Database, functional PBE.

Calculated values
* magnetic moment: 0.44 μB per formula unit
* space-group type: F-43m

Cell lengths 4.398, 4.398, 4.398 Å; angles 60.00, 60.00, 60.00 degrees
Fractional positions:
Gd 0.000 0.000 0.000
Be 0.250 0.250 0.250



A relaxed structure of Rb4Cd2SnPb. Source: the Open Quantum Materials Database, functional PBE.

Calculated values
* space-group type: Amm2

Cell lengths 6.820, 7.230, 7.230 Å; angles 105.52, 90.00, 90.00 degrees
Fractional positions:
Rb 0.000 0.173 0.827
Rb 0.000 0.827 0.173
Rb 0.500 0.124 0.471
Rb 0.500 0.471 0.124
Cd 0.251 0.650 0.650
Cd 0.749 0.650 0.650
Sn 0.500 0.910 0.910
Pb 0.000 0.385 0.385



A relaxed structure of TaCuGeMo. Source: the Open Quantum Materials Database, functional PBE.

Calculated values
* magnetic moment: 0.01 μB per formula unit
* space-group type: F-43m

Cell lengths 4.435, 4.435, 4.435 Å; angles 60.00, 60.00, 60.00 degrees
Fractional positions:
Ta 0.000 0.000 0.000
Cu 0.750 0.750 0.750
Ge 0.500 0.500 0.500
Mo 0.250 0.250 0.250



A relaxed structure of NaSiBPt. Source: the Open Quantum Materials Database, functional PBE.

Calculated values
* magnetic moment: 0.00 μB per formula unit
* space-group type: F-43m

Cell lengths 4.278, 4.278, 4.278 Å; angles 60.00, 60.00, 60.00 degrees
Fractional positions:
Na 0.000 0.000 0.000
Si 0.500 0.500 0.500
B 0.750 0.750 0.750
Pt 0.250 0.250 0.250



A relaxed structure of GdHoZr2Bi2. Source: the Open Quantum Materials Database, functional PBE.

Calculated values
* magnetic moment: 0.01 μB per formula unit
* space-group type: I4mm

Cell lengths 9.000, 9.000, 9.000 Å; angles 152.17, 152.17, 39.76 degrees
Fractional positions:
Gd 0.000 0.000 0.000
Ho 0.352 0.352 0.000
Zr 0.177 0.677 0.500
Zr 0.677 0.177 0.500
Bi 0.542 0.542 0.000
Bi 0.811 0.811 0.000



A relaxed structure of LaHoAl4Ni2. Source: the Open Quantum Materials Database, functional PBE.

Calculated values
* magnetic moment: 0.00 μB per formula unit
* space-group type: Amm2

Cell lengths 6.982, 5.642, 5.642 Å; angles 42.30, 90.00, 90.00 degrees
Fractional positions:
La 0.000 0.000 0.000
Ho 0.500 0.887 0.887
Al 0.200 0.280 0.280
Al 0.311 0.609 0.609
Al 0.689 0.609 0.609
Al 0.800 0.280 0.280
Ni 0.000 0.724 0.724
Ni 0.500 0.159 0.159



A relaxed structure of TlHgSb. Source: the Open Quantum Materials Database, functional PBE.

Calculated values
* space-group type: F-43m

Cell lengths 5.145, 5.145, 5.145 Å; angles 60.00, 60.00, 60.00 degrees
Fractional positions:
Tl 0.000 0.000 0.000
Hg 0.500 0.500 0.500
Sb 0.750 0.750 0.750



A relaxed structure of ScIrNO. Source: the Open Quantum Materials Database, functional PBE.

Calculated values
* magnetic moment: 0.00 μB per formula unit
* space-group type: Pca2_1

Cell lengths 5.320, 7.396, 5.057 Å; angles 90.00, 90.00, 90.00 degrees
Fractional positions:
Sc 0.032 0.129 0.000
Sc 0.468 0.129 0.500
Sc 0.532 0.871 0.000
Sc 0.968 0.871 0.500
Ir 0.077 0.469 0.659
Ir 0.423 0.469 0.159
Ir 0.577 0.531 0.659
Ir 0.923 0.531 0.159
N 0.131 0.328 0.317
N 0.369 0.328 0.817
N 0.631 0.672 0.317
N 0.869 0.672 0.817
O 0.249 0.967 0.743
O 0.251 0.967 0.243
O 0.749 0.033 0.743
O 0.751 0.033 0.243



A relaxed structure of Dy2ErTm2Lu2Ni2Te2. Source: the Open Quantum Materials Database, functional PBE.

Calculated values
* magnetic moment: 0.01 μB per formula unit
* space-group type: Imm2

Cell lengths 9.251, 9.251, 9.251 Å; angles 156.22, 67.15, 118.25 degrees
Fractional positions:
Dy 0.134 0.000 0.134
Dy 0.866 0.000 0.866
Er 0.420 0.420 0.000
Tm 0.112 0.797 0.315
Tm 0.482 0.797 0.685
Lu 0.500 0.147 0.354
Lu 0.793 0.147 0.646
Ni 0.256 0.490 0.766
Ni 0.724 0.490 0.234
Te 0.156 0.656 0.500
Te 0.754 0.754 0.000



A relaxed structure of LaNd2Si2Ge2Pd4. Source: the Open Quantum Materials Database, functional PBE.

Calculated values
* magnetic moment: 0.03 μB per formula unit
* space-group type: Immm

Cell lengths 12.823, 12.823, 12.823 Å; angles 161.07, 160.55, 27.27 degrees
Fractional positions:
La 0.000 0.000 0.000
Nd 0.353 0.853 0.500
Nd 0.647 0.147 0.500
Si 0.452 0.452 0.000
Si 0.548 0.548 0.000
Ge 0.194 0.694 0.500
Ge 0.806 0.306 0.500
Pd 0.094 0.594 0.500
Pd 0.250 0.250 0.000
Pd 0.750 0.750 0.000
Pd 0.906 0.406 0.500



A relaxed structure of PmTaB. Source: the Open Quantum Materials Database, functional PBE.

Calculated values
* magnetic moment: 2.48 μB per formula unit
* space-group type: F-43m

Cell lengths 4.591, 4.591, 4.591 Å; angles 60.00, 60.00, 60.00 degrees
Fractional positions:
Pm 0.000 0.000 0.000
Ta 0.250 0.250 0.250
B 0.750 0.750 0.750



A relaxed structure of PaBeTe. Source: the Open Quantum Materials Database, functional PBE.

Calculated values
* magnetic moment: 0.04 μB per formula unit
* space-group type: F-43m

Cell lengths 4.491, 4.491, 4.491 Å; angles 60.00, 60.00, 60.00 degrees
Fractional positions:
Pa 0.000 0.000 0.000
Be 0.250 0.250 0.250
Te 0.500 0.500 0.500



A relaxed structure of DyHo2In3CuAg2. Source: the Open Quantum Materials Database, functional PBE.

Calculated values
* magnetic moment: 0.00 μB per formula unit
* space-group type: Amm2

Cell lengths 3.883, 7.789, 7.789 Å; angles 120.03, 90.00, 90.00 degrees
Fractional positions:
Dy 0.000 0.000 0.000
Ho 0.000 0.196 0.598
Ho 0.000 0.598 0.196
In 0.500 0.347 0.347
In 0.500 0.598 0.849
In 0.500 0.849 0.598
Cu 0.000 0.598 0.598
Ag 0.500 0.265 0.931
Ag 0.500 0.931 0.265



A relaxed structure of PrGe2IrPd. Source: the Open Quantum Materials Database, functional PBE.

Calculated values
* magnetic moment: 0.00 μB per formula unit
* space-group type: P4/nmm

Cell lengths 4.272, 4.272, 10.431 Å; angles 90.00, 90.00, 90.00 degrees
Fractional positions:
Pr 0.250 0.250 0.249
Pr 0.750 0.750 0.751
Ge 0.250 0.250 0.627
Ge 0.250 0.750 0.000
Ge 0.750 0.250 0.000
Ge 0.750 0.750 0.373
Ir 0.250 0.750 0.500
Ir 0.750 0.250 0.500
Pd 0.250 0.250 0.866
Pd 0.750 0.750 0.134



A relaxed structure of Al16W13. Source: the Open Quantum Materials Database, functional PBE.

Calculated values
* magnetic moment: 0.06 μB per formula unit
* space-group type: I-43m

Cell lengths 8.412, 8.412, 8.412 Å; angles 109.47, 109.47, 109.47 degrees
Fractional positions:
Al 0.000 0.000 0.669
Al 0.000 0.187 0.374
Al 0.000 0.374 0.187
Al 0.000 0.669 0.000
Al 0.187 0.000 0.374
Al 0.187 0.374 0.000
Al 0.188 0.813 0.813
Al 0.331 0.331 0.331
Al 0.374 0.000 0.187
Al 0.374 0.187 0.000
Al 0.626 0.626 0.812
Al 0.626 0.812 0.626
Al 0.669 0.000 0.000
Al 0.812 0.626 0.626
Al 0.813 0.188 0.813
Al 0.813 0.813 0.188
W 0.000 0.000 0.000
W 0.000 0.424 0.680
W 0.000 0.680 0.424
W 0.256 0.576 0.576
W 0.320 0.320 0.744
W 0.320 0.744 0.320
W 0.424 0.000 0.680
W 0.424 0.680 0.000
W 0.576 0.256 0.576
W 0.576 0.576 0.256
W 0.680 0.000 0.424
W 0.680 0.424 0.000
W 0.744 0.320 0.320



A relaxed structure of SmZrS2Br2. Source: the Open Quantum Materials Database, functional PBE.

Calculated values
* magnetic moment: 0.22 μB per formula unit
* space-group type: Pmm2

Cell lengths 3.931, 5.307, 8.924 Å; angles 90.00, 90.00, 90.00 degrees
Fractional positions:
Sm 0.000 0.000 0.000
Zr 0.500 0.500 0.767
S 0.000 0.500 0.955
S 0.500 0.000 0.772
Br 0.000 0.500 0.550
Br 0.500 0.000 0.234



A relaxed structure of Hf2Ni3. Source: the Open Quantum Materials Database, functional PBE.

Calculated values
* magnetic moment: 0.00 μB per formula unit
* space-group type: R-3c

Cell lengths 6.029, 6.029, 6.029 Å; angles 62.84, 62.84, 62.84 degrees
Fractional positions:
Hf 0.103 0.103 0.103
Hf 0.397 0.397 0.397
Hf 0.603 0.603 0.603
Hf 0.897 0.897 0.897
Ni 0.018 0.250 0.482
Ni 0.250 0.482 0.018
Ni 0.482 0.018 0.250
Ni 0.518 0.982 0.750
Ni 0.750 0.518 0.982
Ni 0.982 0.750 0.518



A relaxed structure of FeCuSiAg. Source: the Open Quantum Materials Database, functional PBE.

Calculated values
* magnetic moment: 2.10 μB per formula unit
* space-group type: F-43m

Cell lengths 4.234, 4.234, 4.234 Å; angles 60.00, 60.00, 60.00 degrees
Fractional positions:
Fe 0.000 0.000 0.000
Cu 0.500 0.500 0.500
Si 0.750 0.750 0.750
Ag 0.250 0.250 0.250



A relaxed structure of KTcAs2. Source: the Open Quantum Materials Database, functional PBE.

Calculated values
* magnetic moment: 0.01 μB per formula unit
* space-group type: P6_3/mmc

Cell lengths 3.426, 3.426, 16.909 Å; angles 90.00, 90.00, 120.00 degrees
Fractional positions:
K 0.000 0.000 0.000
K 0.000 0.000 0.500
Tc 0.333 0.667 0.250
Tc 0.667 0.333 0.750
As 0.333 0.667 0.656
As 0.333 0.667 0.844
As 0.667 0.333 0.156
As 0.667 0.333 0.344



A relaxed structure of AlReB4. Source: the Open Quantum Materials Database, functional PBE.

Calculated values
* magnetic moment: 0.00 μB per formula unit
* space-group type: Immm

Cell lengths 4.486, 4.486, 4.486 Å; angles 141.45, 109.90, 82.97 degrees
Fractional positions:
Al 0.000 0.000 0.000
Re 0.500 0.500 0.000
B 0.078 0.742 0.335
B 0.407 0.742 0.665
B 0.593 0.258 0.335
B 0.922 0.258 0.665



A relaxed structure of AlHgAsO. Source: the Open Quantum Materials Database, functional PBE.

Calculated values
* space-group type: P4/nmm

Cell lengths 4.270, 4.270, 8.898 Å; angles 90.00, 90.00, 90.00 degrees
Fractional positions:
Al 0.250 0.750 0.000
Al 0.750 0.250 0.000
Hg 0.250 0.250 0.417
Hg 0.750 0.750 0.583
As 0.250 0.250 0.838
As 0.750 0.750 0.162
O 0.250 0.750 0.500
O 0.750 0.250 0.500



A relaxed structure of LiSmGe. Source: the Open Quantum Materials Database, functional PBE.

Calculated values
* magnetic moment: 0.00 μB per formula unit
* space-group type: F-43m

Cell lengths 4.493, 4.493, 4.493 Å; angles 60.00, 60.00, 60.00 degrees
Fractional positions:
Li 0.000 0.000 0.000
Sm 0.250 0.250 0.250
Ge 0.750 0.750 0.750



A relaxed structure of LaScBeNi. Source: the Open Quantum Materials Database, functional PBE.

Calculated values
* magnetic moment: 0.00 μB per formula unit
* space-group type: F-43m

Cell lengths 4.825, 4.825, 4.825 Å; angles 60.00, 60.00, 60.00 degrees
Fractional positions:
La 0.000 0.000 0.000
Sc 0.500 0.500 0.500
Be 0.750 0.750 0.750
Ni 0.250 0.250 0.250



Summary of calculated total energy in eV per atom
-5.6843 -2.9921 -2.9785 -1.8617 -7.5394 -4.2205 -6.2936 -5.0470 -2.2012 -8.5944 -5.1472 -5.9219 -5.6626 -5.2676 -3.9141 -6.4137 -7.6506 -5.8123 -7.2460 -4.8698 -5.4671 -7.1504 -3.4804 -4.2086 -5.1730
(order as listed above)